[1]
The following is a DFT calculation (PBE) of an optimized crystal structure of SrAc2PrOs.

Unit cell a=5.7767 b=5.9572 c=5.9572 alpha=90.00 beta=90.00 gamma=90.00
With the nearest neighbours (Å) after each atom.
Fractional positions:
Sr: 0.5000 0.5000 0.5000  8 Ac 4.15, 4 Pr 4.21
Ac: 0.0000 0.0000 0.5000  2 Os 2.98
Ac: 0.0000 0.5000 0.0000  2 Os 2.98
Pr: 0.5000 0.0000 0.0000  2 Os 2.89
Os: 0.0000 0.0000 0.0000  2 Pr 2.89, 4 Ac 2.98

Computed properties:
total moment: 0.0 μB/f.u.


[2]
The following is a DFT calculation (PBE) of an optimized crystal structure of PmPrZn4.

Unit cell a=4.5843 b=5.8361 c=5.8361 alpha=76.46 beta=66.87 gamma=66.87
With the nearest neighbours (Å) after each atom.
Fractional positions:
Pm: 0.0000 0.5000 0.5000  12 Zn 3.19-3.21
Pr: 0.0000 0.0000 0.0000  12 Zn 3.19-3.21
Zn: 0.6667 0.5807 0.0859  3 Zn 2.65
Zn: 0.3333 0.9141 0.4193  3 Zn 2.65
Zn: 0.3333 0.4193 0.9141  3 Zn 2.65
Zn: 0.6667 0.0859 0.5807  3 Zn 2.65

Computed properties:
total moment: 0.0 μB/f.u.


[3]
The following is a DFT calculation (PBE) of an optimized crystal structure of BeInTc2.

Unit cell a=5.1463 b=5.0940 c=2.7615 alpha=80.43 beta=78.02 gamma=116.67
With the nearest neighbours (Å) after each atom.
Fractional positions:
Be: 0.0000 0.5000 0.5000  2 In 2.66, 4 Tc 2.69, 2 Be 2.76
Tc: 0.0000 0.0000 0.0000  4 Tc 2.66-2.76, 2 In 2.69, 2 Be 2.69
Tc: 0.5000 0.0000 0.5000  4 Tc 2.66-2.76, 2 Be 2.69, 2 In 2.69
In: 0.5000 0.5000 0.0000  2 Be 2.66, 4 Tc 2.69, 2 In 2.76

Computed properties:
total moment: 0.0 μB/f.u.


Number 1: total energy -5.182 eV per atom. Number 2: total energy -2.781 eV per atom. Number 3: total energy -6.364 eV per atom.